# 1
## Ni3Hg2 (GGA-PBE)

Data for a relaxed structure of Ni3Hg2.

Lattice parameters (Å, degrees): 8.947 12.975 5.194 90.00 90.00 90.00
Space group Fdd2 (No. 43)
Inequivalent atoms, fractional coordinates:
Ni1 0.000 0.000 0.000 x8
Ni2 0.065 0.389 0.141 x16
Hg1 0.064 0.303 0.650 x16

Computed properties:
- Polymorph energy (0 for the lowest one): 0 meV per atom
- Energy of formation: 1.28 eV/f.u.


# 2
## Ni5Hg4 (GGA-PBE)

Data for a relaxed structure of Ni5Hg4.

Lattice parameters (Å, degrees): 7.7671 7.7671 5.3732 90.00 90.00 120.00
Space group P6_3/mcm (No. 193)
Inequivalent atoms, fractional coordinates:
Ni1 0.0000 0.3102 0.2500 x6
Ni2 0.3333 0.6667 0.0000 x4
Hg1 0.0000 0.0000 0.0000 x2
Hg2 0.0000 0.3653 0.7500 x6

Computed properties:
- Polymorph energy (0 for the lowest one): 71 meV per atom
- Energy of formation: 2.88 eV/f.u.